Ga6PbS8: optimized geometry, GGA-PBE.

Properties
Symmetry   R-3 (148)
Formation energy without anion corrections   -0.389 eV per atom

Cell: 6.872 6.872 6.872 Å, 93.16 93.16 93.16°
Sites, in units of the cell vectors:
Ga (0.126, 0.598, 0.387)
Ga (0.387, 0.126, 0.598)
Ga (0.402, 0.613, 0.874)
Ga (0.598, 0.387, 0.126)
Ga (0.613, 0.874, 0.402)
Ga (0.874, 0.402, 0.613)
Pb (0.000, 0.000, 0.000)
S (0.178, 0.328, 0.799)
S (0.201, 0.822, 0.672)
S (0.319, 0.319, 0.319)
S (0.328, 0.799, 0.178)
S (0.672, 0.201, 0.822)
S (0.681, 0.681, 0.681)
S (0.799, 0.178, 0.328)
S (0.822, 0.672, 0.201)